## Tb6Pm5Pu (PBE)

Data for a geometry-optimized Tb6Pm5Pu structure.

The total magnetic moment comes out at 6.18 μB/f.u. The value obtained for the formation enthalpy at 0 K is 0.046 eV per atom.

The structure belongs to space group Cmmm (No. 65); the cell edges are 5.072, 15.246 and 10.105 Å and the angles 90.00°, 90.00° and 90.00°. The inequivalent atoms are Tb at (0.000, 0.000, 0.246), Tb at (0.000, 0.335, 0.246), Pm at (0.000, 0.164, 0.000), Pm at (0.000, 0.167, 0.500), Pm at (0.000, 0.500, 0.500) and Pu at (0.000, 0.500, 0.000).

## PmEuOs (PBE)

Data for a geometry-optimized PmEuOs structure.

The total magnetic moment comes out at 6.97 μB/f.u. The value obtained for the formation enthalpy at 0 K is 0.091 eV per atom.

The structure belongs to space group I4mm (No. 107); the cell edges are 3.494, 3.494 and 13.652 Å and the angles 90.00°, 90.00° and 90.00°. The inequivalent atoms are Pm at (0.000, 0.000, 0.000), Eu at (0.000, 0.000, 0.752) and Os at (0.000, 0.000, 0.384).

## Tb2Pr6Sc (PBE)

Data for a geometry-optimized Tb2Pr6Sc structure.

The total magnetic moment comes out at 0.00 μB/f.u. The value obtained for the formation enthalpy at 0 K is 0.570 eV per atom.

The structure belongs to space group P4_2/mnm (No. 136); the cell edges are 8.233, 8.233 and 10.528 Å and the angles 90.00°, 90.00° and 90.00°. The inequivalent atoms are Tb at (0.000, 0.000, 0.167), Pr at (0.236, 0.236, 0.336), Pr at (0.245, 0.245, 0.000) and Sc at (0.000, 0.000, 0.500).

Number 1: energy -0.2000 Ha/atom. Number 2: energy -0.3183 Ha/atom. Number 3: energy -0.1598 Ha/atom.